Material: PaTc2Ge2H
Method: DFT, GGA-PBE
State: optimized geometry

Spin magnetization   0.00 Bohr magnetons per cell
Electronic total energy   -0.276 Ha/atom
Crystal system   tetragonal

The structure in CIF format:
```
data_PaTc2Ge2H
_chemical_formula_sum 'Pa1 Tc2 Ge2 H1'
_space_group_name_H-M_alt 'P 4/m m m'
_space_group_IT_number 123
_space_group_name_Hall '-P 4 2'
_cell_length_a 4.168
_cell_length_b 4.168
_cell_length_c 5.217
_cell_angle_alpha 90.00
_cell_angle_beta 90.00
_cell_angle_gamma 90.00
loop_
_atom_site_label
_atom_site_type_symbol
_atom_site_fract_x
_atom_site_fract_y
_atom_site_fract_z
Pa1 Pa 0.000 0.000 0.000
Tc1 Tc 0.000 0.500 0.500
Ge1 Ge 0.500 0.500 0.228
H1 H 0.000 0.000 0.500
```